# DyNi3C4O12 (PBE with a Hubbard U, optimized geometry)
data_DyNi3C4O12
_chemical_formula_sum 'Dy3 Ni9 C12 O36'
_space_group_name_H-M_alt 'R 3 2'
_space_group_IT_number 155
_space_group_name_Hall 'R 3 2"'
_cell_length_a 9.5468
_cell_length_b 9.5468
_cell_length_c 7.9221
_cell_angle_alpha 90.00
_cell_angle_beta 90.00
_cell_angle_gamma 120.00
loop_
_atom_site_label
_atom_site_type_symbol
_atom_site_fract_x
_atom_site_fract_y
_atom_site_fract_z
Dy1 Dy 0.0000 0.0000 0.0000
Ni1 Ni 0.0000 0.5412 0.0000
C1 C 0.0000 0.0000 0.5000
C2 C 0.0000 0.4577 0.5000
O1 O 0.0000 0.5929 0.5000
O2 O 0.0000 0.8641 0.5000
O3 O 0.0108 0.2061 0.1703
# - V (Å³ per atom) = 10.42
# - final energy (eV/atom) = -6.930
# - density (g/cm³) = 4.61
# - N(E_F) (states/eV/atom) = 0.223